KLi2Ca after structural relaxation. Source: the Alexandria database, functional PBE.

Cell lengths 4.018, 5.480, 7.135 Å; angles 90.00, 106.06, 90.00 degrees
Positions (direct):
1 K 0.000 0.000 0.000
2 Li 0.604 0.500 0.209
3 Li 0.729 0.000 0.458
4 Ca 0.306 0.500 0.615

Results
Spin magnetization (μB per formula unit): 0.000
Offset from the most stable computed form (meV/atom): 50
Energy of formation (eV/atom): 0.151


KLiCa2 after structural relaxation. Source: the Alexandria database, functional PBE.

Cell lengths 6.907, 6.907, 6.907 Å; angles 133.70, 133.70, 67.56 degrees
Positions (direct):
1 K 0.000 0.000 0.000
2 Li 0.500 0.500 0.000
3 Ca 0.250 0.750 0.500
4 Ca 0.750 0.250 0.500

Results
Spin magnetization (μB per formula unit): 0.000
Energy of formation (eV/atom): 0.200


KLi2Ca after structural relaxation. Source: the Alexandria database, functional PBE.

Cell lengths 5.941, 5.941, 5.941 Å; angles 60.00, 60.00, 60.00 degrees
Positions (direct):
1 K 0.000 0.000 0.000
2 Li 0.500 0.500 0.500
3 Li 0.750 0.750 0.750
4 Ca 0.250 0.250 0.250

Results
Spin magnetization (μB per formula unit): 0.000
Offset from the most stable computed form (meV/atom): 129
Energy of formation (eV/atom): 0.230


KLi2Ca after structural relaxation. Source: the Alexandria database, functional PBE.

Cell lengths 6.882, 6.882, 6.099 Å; angles 109.24, 109.24, 32.75 degrees
Positions (direct):
1 K 0.000 0.000 0.000
2 Li 0.447 0.447 0.461
3 Li 0.763 0.763 0.212
4 Ca 0.208 0.208 0.659

Results
Spin magnetization (μB per formula unit): 0.000
Offset from the most stable computed form (meV/atom): 47
Energy of formation (eV/atom): 0.148


KLi2Ca after structural relaxation. Source: the Alexandria database, functional PBE.

Cell lengths 11.910, 11.910, 11.910 Å; angles 18.68, 18.68, 18.68 degrees
Positions (direct):
1 K 0.000 0.000 0.000
2 Li 0.243 0.243 0.243
3 Li 0.757 0.757 0.757
4 Ca 0.500 0.500 0.500

Results
Spin magnetization (μB per formula unit): 0.000
Offset from the most stable computed form (meV/atom): 63
Energy of formation (eV/atom): 0.164


KLi2Ca after structural relaxation. Source: the Alexandria database, functional PBE.

Cell lengths 7.377, 7.377, 7.377 Å; angles 104.28, 104.28, 120.45 degrees
Positions (direct):
1 K 0.000 0.000 0.000
2 K 0.750 0.250 0.500
3 Li 0.126 0.625 0.001
4 Li 0.375 0.376 0.501
5 Li 0.624 0.125 0.999
6 Li 0.875 0.874 0.499
7 Ca 0.250 0.750 0.500
8 Ca 0.500 0.500 0.000

Results
Spin magnetization (μB per formula unit): 0.000
Offset from the most stable computed form (meV/atom): 176
Energy of formation (eV/atom): 0.277


KLiCa2 after structural relaxation. Source: the Alexandria database, functional PBE.

Cell lengths 7.411, 7.411, 7.411 Å; angles 147.91, 128.50, 61.99 degrees
Positions (direct):
1 K 0.000 0.000 0.000
2 Li 0.226 0.726 0.500
3 Ca 0.435 0.435 0.000
4 Ca 0.714 0.214 0.500

Results
Spin magnetization (μB per formula unit): 0.000
Energy of formation (eV/atom): 0.175


KLiCa2 after structural relaxation. Source: the Alexandria database, functional PBE.

Cell lengths 6.874, 6.874, 6.874 Å; angles 132.84, 132.84, 68.90 degrees
Positions (direct):
1 K 0.000 0.000 0.000
2 Li 0.250 0.750 0.500
3 Ca 0.500 0.500 0.000
4 Ca 0.750 0.250 0.500

Results
Spin magnetization (μB per formula unit): 0.000
Energy of formation (eV/atom): 0.214


KNa2LiCa after structural relaxation. Source: the Alexandria database, functional PBE.

Cell lengths 5.987, 5.987, 6.221 Å; angles 90.00, 90.00, 90.00 degrees
Positions (direct):
1 K 0.000 0.000 0.000
2 Na 0.000 0.500 0.500
3 Na 0.500 0.000 0.500
4 Li 0.500 0.500 0.500
5 Ca 0.500 0.500 0.000

Results
Spin magnetization (μB per formula unit): 0.000
Energy of formation (eV/atom): 0.188


KLiCa2Nb after structural relaxation. Source: the Alexandria database, functional PBE.

Cell lengths 6.012, 6.012, 4.320 Å; angles 90.00, 90.00, 90.00 degrees
Positions (direct):
1 K 0.000 0.000 0.000
2 Li 0.000 0.000 0.500
3 Ca 0.000 0.500 0.000
4 Ca 0.500 0.000 0.000
5 Nb 0.500 0.500 0.500

Results
Spin magnetization (μB per formula unit): 3.244
Energy of formation (eV/atom): 1.335


KLiCa2P after structural relaxation. Source: the Alexandria database, functional PBE.

Cell lengths 5.672, 5.672, 5.366 Å; angles 90.00, 90.00, 90.00 degrees
Positions (direct):
1 K 0.000 0.000 0.000
2 Li 0.500 0.500 0.000
3 Ca 0.000 0.500 0.500
4 Ca 0.500 0.000 0.500
5 P 0.500 0.500 0.500

Results
Spin magnetization (μB per formula unit): 0.697
Energy of formation (eV/atom): -0.328


KLiCa2Pd after structural relaxation. Source: the Alexandria database, functional PBE.

Cell lengths 5.599, 5.599, 6.304 Å; angles 90.00, 90.00, 90.00 degrees
Positions (direct):
1 K 0.000 0.000 0.000
2 Li 0.500 0.500 0.000
3 Ca 0.000 0.500 0.500
4 Ca 0.500 0.000 0.500
5 Pd 0.000 0.000 0.500

Results
Spin magnetization (μB per formula unit): 0.000
Offset from the most stable computed form (meV/atom): 105
Energy of formation (eV/atom): -0.059


How do the records compare in E? In the order shown, they have -1.581 -1.554 -1.502 -1.583 -1.568 -1.454 -1.579 -1.540 -1.342 -2.082 -2.813 -2.500 eV/atom.